(1)
A plane-wave DFT calculation with PBE was carried out for an optimized crystal structure of La4Sm15In.

Cell: 5.101 5.101 25.882 Å, 90.00 90.00 90.00°
Sites, in units of the cell vectors:
La 0.000 0.000 0.101
La 0.000 0.000 0.303
La 0.000 0.000 0.697
La 0.000 0.000 0.899
Sm 0.000 0.500 0.000
Sm 0.000 0.500 0.203
Sm 0.000 0.500 0.406
Sm 0.000 0.500 0.594
Sm 0.000 0.500 0.797
Sm 0.500 0.000 0.000
Sm 0.500 0.000 0.203
Sm 0.500 0.000 0.406
Sm 0.500 0.000 0.594
Sm 0.500 0.000 0.797
Sm 0.500 0.500 0.102
Sm 0.500 0.500 0.306
Sm 0.500 0.500 0.500
Sm 0.500 0.500 0.694
Sm 0.500 0.500 0.898
In 0.000 0.000 0.500

Formation energy in eV/atom: -0.0282
Uncorrected energy in eV per atom: -4.690
Total moment in μB per formula unit: 0.00

(2)
A plane-wave DFT calculation with PBE was carried out for an optimized crystal structure of LaSm2In9.

Cell: 4.719 4.719 14.155 Å, 90.00 90.00 90.00°
Sites, in units of the cell vectors:
La 0.000 0.000 0.000
Sm 0.000 0.000 0.336
Sm 0.000 0.000 0.664
In 0.000 0.500 0.171
In 0.000 0.500 0.500
In 0.000 0.500 0.829
In 0.500 0.000 0.171
In 0.500 0.000 0.500
In 0.500 0.000 0.829
In 0.500 0.500 0.000
In 0.500 0.500 0.334
In 0.500 0.500 0.666

Formation energy in eV/atom: -0.4680
Uncorrected energy in eV per atom: -3.719
Total moment in μB per formula unit: 0.00

(3)
A plane-wave DFT calculation with PBE was carried out for an optimized crystal structure of LaSm3In2.

Cell: 5.362 10.100 6.854 Å, 90.00 90.00 90.00°
Sites, in units of the cell vectors:
La 0.000 0.039 0.000
La 0.000 0.961 0.500
Sm 0.000 0.325 0.658
Sm 0.000 0.675 0.158
Sm 0.500 0.181 0.272
Sm 0.500 0.460 0.936
Sm 0.500 0.540 0.436
Sm 0.500 0.819 0.772
In 0.000 0.357 0.182
In 0.000 0.643 0.682
In 0.500 0.148 0.747
In 0.500 0.852 0.247

Formation energy in eV/atom: -0.3503
Energy relative to the lowest polymorph listed for this composition in meV/atom: 0
Uncorrected energy in eV per atom: -4.444
Total moment in μB per formula unit: 0.00

(4)
A plane-wave DFT calculation with PBE was carried out for an optimized crystal structure of La3SmIn2.

Cell: 5.317 10.477 6.913 Å, 90.00 90.00 90.00°
Sites, in units of the cell vectors:
La 0.000 0.051 0.000
La 0.000 0.316 0.390
La 0.000 0.684 0.890
La 0.000 0.949 0.500
La 0.500 0.180 0.774
La 0.500 0.820 0.274
Sm 0.500 0.458 0.126
Sm 0.500 0.542 0.626
In 0.000 0.371 0.870
In 0.000 0.629 0.370
In 0.500 0.140 0.282
In 0.500 0.860 0.782

Formation energy in eV/atom: -0.3652
Energy relative to the lowest polymorph listed for this composition in meV/atom: 0
Uncorrected energy in eV per atom: -4.528
Total moment in μB per formula unit: 0.00

(5)
A plane-wave DFT calculation with PBE was carried out for an optimized crystal structure of LaSm2In2.

Cell: 14.378 14.378 5.522 Å, 90.00 90.00 164.49°
Sites, in units of the cell vectors:
La 0.146 0.854 0.750
La 0.854 0.146 0.250
Sm 0.050 0.950 0.250
Sm 0.236 0.764 0.250
Sm 0.764 0.236 0.750
Sm 0.950 0.050 0.750
In 0.356 0.644 0.750
In 0.454 0.546 0.250
In 0.546 0.454 0.750
In 0.644 0.356 0.250

Formation energy in eV/atom: -0.3873
Energy relative to the lowest polymorph listed for this composition in meV/atom: 0
Uncorrected energy in eV per atom: -4.356
Total moment in μB per formula unit: 0.00

(6)
A plane-wave DFT calculation with PBE was carried out for an optimized crystal structure of LaSmIn2.

Cell: 3.889 3.889 7.801 Å, 90.00 90.00 90.00°
Sites, in units of the cell vectors:
La 0.000 0.000 0.000
Sm 0.000 0.000 0.500
In 0.500 0.500 0.263
In 0.500 0.500 0.737

Formation energy in eV/atom: -0.5084
Uncorrected energy in eV per atom: -4.289
Total moment in μB per formula unit: 0.00

(7)
A plane-wave DFT calculation with PBE was carried out for an optimized crystal structure of La4SmIn3.

Cell: 11.504 7.174 6.043 Å, 90.00 90.00 90.00°
Sites, in units of the cell vectors:
La 0.000 0.242 0.000
La 0.000 0.758 0.000
La 0.250 0.237 0.369
La 0.250 0.763 0.369
La 0.500 0.242 0.000
La 0.500 0.758 0.000
La 0.750 0.237 0.631
La 0.750 0.763 0.631
Sm 0.000 0.500 0.500
Sm 0.500 0.500 0.500
In 0.000 0.000 0.500
In 0.250 0.000 0.859
In 0.250 0.500 0.852
In 0.500 0.000 0.500
In 0.750 0.000 0.141
In 0.750 0.500 0.148

Formation energy in eV/atom: -0.3390
Uncorrected energy in eV per atom: -4.419
Total moment in μB per formula unit: 0.00

(8)
A plane-wave DFT calculation with PBE was carried out for an optimized crystal structure of La4SmIn2.

Cell: 7.812 7.812 7.812 Å, 134.23 134.23 66.74°
Sites, in units of the cell vectors:
La 0.000 0.500 0.500
La 0.250 0.750 0.500
La 0.500 0.000 0.500
La 0.750 0.250 0.500
Sm 0.000 0.000 0.000
In 0.378 0.378 0.000
In 0.622 0.622 0.000

Formation energy in eV/atom: 0.0278
Energy relative to the lowest polymorph listed for this composition in meV/atom: 234
Uncorrected energy in eV per atom: -4.244
Total moment in μB per formula unit: 0.00

(9)
A plane-wave DFT calculation with PBE was carried out for an optimized crystal structure of La4Sm2In.

Cell: 6.436 11.338 6.616 Å, 90.00 91.20 90.00°
Sites, in units of the cell vectors:
La 0.063 0.153 0.459
La 0.063 0.347 0.959
La 0.404 0.736 0.725
La 0.404 0.764 0.225
La 0.596 0.236 0.775
La 0.596 0.264 0.275
La 0.937 0.653 0.041
La 0.937 0.847 0.541
Sm 0.249 0.032 0.950
Sm 0.249 0.468 0.450
Sm 0.751 0.532 0.550
Sm 0.751 0.968 0.050
In 0.500 0.000 0.500
In 0.500 0.500 0.000

Formation energy in eV/atom: -0.0483
Energy relative to the lowest polymorph listed for this composition in meV/atom: 0
Uncorrected energy in eV per atom: -4.603
Total moment in μB per formula unit: 0.00

(10)
A plane-wave DFT calculation with PBE was carried out for an optimized crystal structure of La4Sm3In4.

Cell: 11.234 11.234 11.234 Å, 161.01 129.54 54.40°
Sites, in units of the cell vectors:
La 0.005 0.837 0.169
La 0.332 0.163 0.169
La 0.668 0.837 0.831
La 0.995 0.163 0.831
Sm 0.000 0.500 0.500
Sm 0.408 0.408 0.000
Sm 0.592 0.592 0.000
In 0.278 0.778 0.500
In 0.279 0.000 0.279
In 0.721 0.000 0.721
In 0.722 0.222 0.500

Formation energy in eV/atom: -0.3387
Uncorrected energy in eV per atom: -4.413
Total moment in μB per formula unit: 0.00

(11)
A plane-wave DFT calculation with PBE was carried out for an optimized crystal structure of La3SmIn3.

Cell: 9.721 9.721 9.721 Å, 90.00 90.00 90.00°
Sites, in units of the cell vectors:
La 0.071 0.429 0.571
La 0.171 0.829 0.329
La 0.174 0.174 0.174
La 0.326 0.826 0.674
La 0.329 0.171 0.829
La 0.429 0.571 0.071
La 0.571 0.071 0.429
La 0.671 0.671 0.671
La 0.674 0.326 0.826
La 0.826 0.674 0.326
La 0.829 0.329 0.171
La 0.929 0.929 0.929
Sm 0.077 0.577 0.923
Sm 0.423 0.423 0.423
Sm 0.577 0.923 0.077
Sm 0.923 0.077 0.577
In 0.003 0.256 0.869
In 0.131 0.503 0.244
In 0.244 0.131 0.503
In 0.256 0.869 0.003
In 0.369 0.497 0.744
In 0.497 0.744 0.369
In 0.503 0.244 0.131
In 0.631 0.997 0.756
In 0.744 0.369 0.497
In 0.756 0.631 0.997
In 0.869 0.003 0.256
In 0.997 0.756 0.631

Formation energy in eV/atom: -0.3591
Energy relative to the lowest polymorph listed for this composition in meV/atom: 0
Uncorrected energy in eV per atom: -4.319
Total moment in μB per formula unit: 0.00

(12)
A plane-wave DFT calculation with PBE was carried out for an optimized crystal structure of LaSmIn4.

Cell: 6.109 6.109 6.109 Å, 60.00 60.00 60.00°
Sites, in units of the cell vectors:
La 0.000 0.000 0.000
Sm 0.250 0.250 0.250
In 0.125 0.625 0.625
In 0.625 0.125 0.625
In 0.625 0.625 0.125
In 0.625 0.625 0.625

Formation energy in eV/atom: -0.4353
Energy relative to the lowest polymorph listed for this composition in meV/atom: 44
Uncorrected energy in eV per atom: -3.869
Total moment in μB per formula unit: 0.00